(1)
The following is a PBE with a Hubbard U calculation of crystalline K3VCd2F9 at its relaxed geometry, from Alexandria.

Its crystal system is trigonal. The density of states at the Fermi level is 0.65 states/eV/f.u.

It has space group P-3m1 (No. 164), with a = 6.1978 Å, b = 6.1978 Å, c = 7.5941 Å, α = 90.00°, β = 90.00° and γ = 120.00°. The distinct sites, in fractional coordinates, are K at (0.0000, 0.0000, 0.0000), K at (0.3333, 0.6667, 0.6661), V at (0.0000, 0.0000, 0.5000), Cd at (0.3333, 0.6667, 0.1749), F at (0.0000, 0.5000, 0.0000) and F at (0.1615, 0.3230, 0.3410).

***

(2)
The following is a PBE with a Hubbard U calculation of crystalline KVCdF6 at its relaxed geometry, from Alexandria.

Its crystal system is orthorhombic. The density of states at the Fermi level is 0.00 states/eV/f.u.

It has space group Imma (No. 74), with a = 7.316 Å, b = 7.504 Å, c = 10.370 Å, α = 90.00°, β = 90.00° and γ = 90.00°. The distinct sites, in fractional coordinates, are K at (0.000, 0.250, 0.151), V at (0.000, 0.000, 0.500), Cd at (0.250, 0.250, 0.750), F at (0.000, 0.250, 0.570), F at (0.000, 0.250, 0.864) and F at (0.188, 0.032, 0.370).

***

(3)
The following is a PBE with a Hubbard U calculation of crystalline K2VCdF6 at its relaxed geometry, from Alexandria.

Its crystal system is orthorhombic.

It has space group Immm (No. 71), with a = 6.134 Å, b = 6.149 Å, c = 8.682 Å, α = 90.00°, β = 90.00° and γ = 90.00°. The distinct sites, in fractional coordinates, are K at (0.000, 0.000, 0.249), V at (0.000, 0.500, 0.500), Cd at (0.000, 0.500, 0.000), F at (0.000, 0.500, 0.257) and F at (0.243, 0.257, 0.500).

***

(4)
The following is a PBE with a Hubbard U calculation of crystalline K2V3CdF12 at its relaxed geometry, from Alexandria.

Its crystal system is trigonal. The density of states at the Fermi level is 4.09 states/eV/f.u.

It has space group R-3m (No. 166, hexagonal axes), with a = 7.6183 Å, b = 7.6183 Å, c = 17.9970 Å, α = 90.00°, β = 90.00° and γ = 120.00°. The distinct sites, in fractional coordinates, are K at (0.0000, 0.0000, 0.1346), V at (0.0000, 0.5000, 0.0000), Cd at (0.0000, 0.0000, 0.5000), F at (0.0217, 0.5108, 0.1109) and F at (0.0736, 0.5368, 0.3397).

***

Number 1: M_tot 3.00 μB/cell, calculated density 3.708 g/cm³, total energy -4.507 eV/atom. Number 2: M_tot 8.00 μB/cell, calculated density 3.692 g/cm³, total energy -4.959 eV/atom. Number 3: M_tot 6.00 μB/cell, calculated density 3.606 g/cm³, total energy -4.779 eV/atom. Number 4: M_tot 21.00 μB/cell, calculated density 3.147 g/cm³, total energy -5.399 eV/atom.